This record from Alexandria via LeMat-Bulk describes a relaxed structure of Ca2As. The functional is GGA-PBEsol.

Unit cell a=7.367 b=7.367 c=8.026 alpha=121.71 beta=121.71 gamma=31.31
Positions (direct):
Ca1 0.106 0.106 0.484
Ca2 0.165 0.165 0.059
Ca3 0.835 0.835 0.941
Ca4 0.894 0.894 0.516
As1 0.410 0.410 0.240
As2 0.590 0.590 0.760

* size of the total moment: 0.0 μB per formula unit
* energy above the most stable polymorph in this dataset: 0.1841 eV per atom
* formation enthalpy at 0 K: -0.7794 eV/atom
* DOS at the Fermi energy: 2.3 states/eV per cell

This record from Alexandria via LeMat-Bulk describes a relaxed structure of Ca3As. The functional is GGA-PBEsol.

Unit cell a=11.277 b=11.277 c=11.277 alpha=156.32 beta=156.32 gamma=33.74
Positions (direct):
Ca1 0.000 0.500 0.500
Ca2 0.120 0.120 0.000
Ca3 0.250 0.750 0.500
Ca4 0.500 0.000 0.500
Ca5 0.750 0.250 0.500
Ca6 0.880 0.880 0.000
As1 0.399 0.399 0.000
As2 0.601 0.601 0.000

* size of the total moment: 0.0 μB per formula unit
* energy above the most stable polymorph in this dataset: 0.1130 eV per atom
* formation enthalpy at 0 K: -0.4893 eV/atom
* DOS at the Fermi energy: 3.8 states/eV per cell

This record from Alexandria via LeMat-Bulk describes a relaxed structure of Ca2As. The functional is GGA-PBEsol.

Unit cell a=8.472 b=8.472 c=8.472 alpha=149.25 beta=149.25 gamma=44.05
Positions (direct):
Ca1 0.000 0.500 0.500
Ca2 0.179 0.179 0.000
Ca3 0.500 0.000 0.500
Ca4 0.821 0.821 0.000
As1 0.366 0.366 0.000
As2 0.634 0.634 0.000

* size of the total moment: 0.0 μB per formula unit
* energy above the most stable polymorph in this dataset: 0.0000 eV per atom
* formation enthalpy at 0 K: -0.9635 eV/atom
* DOS at the Fermi energy: 1.9 states/eV per cell

This record from Alexandria via LeMat-Bulk describes a relaxed structure of Ca3As. The functional is GGA-PBEsol.

Unit cell a=4.008 b=6.760 c=9.534 alpha=90.00 beta=90.00 gamma=90.00
Positions (direct):
Ca1 0.250 0.010 0.171
Ca2 0.250 0.250 0.545
Ca3 0.250 0.490 0.171
Ca4 0.750 0.510 0.829
Ca5 0.750 0.750 0.455
Ca6 0.750 0.990 0.829
As1 0.250 0.750 0.673
As2 0.750 0.250 0.327

* size of the total moment: 0.5 μB per formula unit
* energy above the most stable polymorph in this dataset: 0.0000 eV per atom
* formation enthalpy at 0 K: -0.6022 eV/atom
* DOS at the Fermi energy: 5.9 states/eV per cell

This record from Alexandria via LeMat-Bulk describes a relaxed structure of CaCdAs2. The functional is GGA-PBEsol.

Unit cell a=5.735 b=5.735 c=5.735 alpha=137.84 beta=137.84 gamma=61.15
Positions (direct):
Ca1 0.000 0.000 0.000
Cd1 0.750 0.250 0.500
As1 0.250 0.750 0.500
As2 0.500 0.500 0.000

* size of the total moment: 0.0 μB per formula unit
* formation enthalpy at 0 K: -0.3844 eV/atom
* DOS at the Fermi energy: 1.8 states/eV per cell

This record from Alexandria via LeMat-Bulk describes a relaxed structure of CaCd2As2. The functional is GGA-PBEsol.

Unit cell a=4.373 b=4.373 c=7.077 alpha=90.00 beta=90.00 gamma=120.00
Positions (direct):
Ca1 0.000 0.000 0.000
Cd1 0.333 0.667 0.634
Cd2 0.667 0.333 0.366
As1 0.333 0.667 0.234
As2 0.667 0.333 0.766

* size of the total moment: 0.0 μB per formula unit
* formation enthalpy at 0 K: -0.5922 eV/atom
* DOS at the Fermi energy: 0.0 states/eV per cell

This record from Alexandria via LeMat-Bulk describes a relaxed structure of CaCdAs. The functional is GGA-PBEsol.

Unit cell a=4.776 b=4.776 c=4.776 alpha=60.00 beta=60.00 gamma=60.00
Positions (direct):
Ca1 0.000 0.000 0.000
Cd1 0.500 0.500 0.500
As1 0.750 0.750 0.750

* size of the total moment: 0.0 μB per formula unit
* energy above the most stable polymorph in this dataset: 0.0000 eV per atom
* formation enthalpy at 0 K: -0.5001 eV/atom
* DOS at the Fermi energy: 1.8 states/eV per cell

This record from Alexandria via LeMat-Bulk describes a relaxed structure of Ca2CdAs. The functional is GGA-PBEsol.

Unit cell a=5.176 b=5.176 c=5.176 alpha=119.50 beta=119.50 gamma=90.87
Positions (direct):
Ca1 0.250 0.750 0.500
Ca2 0.750 0.250 0.500
Cd1 0.000 0.000 0.000
As1 0.500 0.500 0.000

* size of the total moment: 0.0 μB per formula unit
* energy above the most stable polymorph in this dataset: 0.0000 eV per atom
* formation enthalpy at 0 K: -0.6326 eV/atom
* DOS at the Fermi energy: 2.8 states/eV per cell

This record from Alexandria via LeMat-Bulk describes a relaxed structure of Ca2CdAs. The functional is GGA-PBEsol.

Unit cell a=5.250 b=5.250 c=5.250 alpha=60.00 beta=60.00 gamma=60.00
Positions (direct):
Ca1 0.000 0.000 0.000
Ca2 0.250 0.250 0.250
Cd1 0.500 0.500 0.500
As1 0.750 0.750 0.750

* size of the total moment: 0.0 μB per formula unit
* energy above the most stable polymorph in this dataset: 0.4205 eV per atom
* formation enthalpy at 0 K: -0.2121 eV/atom
* DOS at the Fermi energy: 2.4 states/eV per cell

This record from Alexandria via LeMat-Bulk describes a relaxed structure of CaCdAs. The functional is GGA-PBEsol.

Unit cell a=4.806 b=4.806 c=4.806 alpha=60.00 beta=60.00 gamma=60.00
Positions (direct):
Ca1 0.000 0.000 0.000
Cd1 0.250 0.250 0.250
As1 0.750 0.750 0.750

* size of the total moment: 0.0 μB per formula unit
* energy above the most stable polymorph in this dataset: 0.2321 eV per atom
* formation enthalpy at 0 K: -0.2680 eV/atom
* DOS at the Fermi energy: 1.4 states/eV per cell

This record from Alexandria via LeMat-Bulk describes a relaxed structure of Ca3AsCl3. The functional is GGA-PBEsol.

Unit cell a=5.690 b=5.690 c=5.690 alpha=90.00 beta=90.00 gamma=90.00
Positions (direct):
Ca1 0.000 0.000 0.500
Ca2 0.000 0.500 0.000
Ca3 0.500 0.000 0.000
As1 0.000 0.000 0.000
Cl1 0.000 0.500 0.500
Cl2 0.500 0.000 0.500
Cl3 0.500 0.500 0.000

* size of the total moment: 0.0 μB per formula unit
* raw formation energy: -2.008 eV per atom
* DOS at the Fermi energy: 0.0 states/eV per cell

This record from Alexandria via LeMat-Bulk describes a relaxed structure of CaAsCl2. The functional is GGA-PBEsol.

Unit cell a=3.446 b=4.312 c=5.702 alpha=90.00 beta=90.00 gamma=90.00
Positions (direct):
Ca1 0.000 0.000 0.000
As1 0.500 0.000 0.500
Cl1 0.000 0.500 0.500
Cl2 0.500 0.500 0.000

* size of the total moment: 0.0 μB per formula unit
* raw formation energy: -1.065 eV per atom
* energy above the most stable polymorph in this dataset: 0.0000 eV per atom
* DOS at the Fermi energy: 0.8 states/eV per cell